Ba8CuSi16: optimized geometry, PBE-GGA.

Unit cell a=6.658 b=8.720 c=12.373 alpha=89.55 beta=89.18 gamma=90.94
Fractional positions:
Si: 0.412 0.770 0.888
Si: 0.921 0.212 0.138
Si: 0.057 0.800 0.866
Si: 0.409 0.287 0.640
Si: 0.049 0.272 0.640
Si: 0.229 0.565 0.798
Si: 0.092 0.568 0.978
Si: 0.225 0.806 0.051
Si: 0.559 0.217 0.137
Si: 0.233 0.303 0.470
Si: 0.700 0.706 0.540
Si: 0.383 0.056 0.530
Si: 0.715 0.953 0.450
Si: 0.641 0.722 0.353
Si: 0.768 0.444 0.074
Si: 0.742 0.212 0.967
Ba: 0.731 0.510 0.780
Ba: 0.266 0.499 0.216
Ba: 0.236 0.996 0.281
Ba: 0.727 0.341 0.416
Ba: 0.205 0.677 0.551
Ba: 0.731 0.846 0.090
Ba: 0.234 0.173 0.914
Ba: 0.713 0.998 0.723
Cu: 0.022 0.065 0.510

Results
Electronic total energy in Ha/atom: -0.165
ρ in g/cm3: 3.73
Formation energy (no corrections) in eV/atom: -0.238
Excess energy over the best structure of this formula in the dataset in meV/atom: 94